Material: Sm2ReCl
Method: DFT, GGA-PBE
State: relaxed

ΔE_f (raw) = -2.29 eV per formula unit
DFT total energy = -6.506 eV per atom

Unit cell a=3.4545 b=3.4545 c=7.9814 alpha=90.00 beta=90.00 gamma=90.00
Last column: nearest neighbours and their distance in Å.
Space group P4/mmm (No. 123)
Symmetry-distinct sites (fractional):
Sm 0.0000 0.0000 0.2148  4 Re 2.98, 4 Cl 3.34
Re 0.5000 0.5000 0.0000  8 Sm 2.98
Cl 0.5000 0.5000 0.5000  8 Sm 3.34, 4 Cl 3.45